Here is Hf2Mg2W at its PBEsol-relaxed geometry from Alexandria via LeMat-Bulk. Energies are from meta-GGA SCAN.

It has space group I4/mmm (No. 139), with a = 3.527 Å, b = 3.527 Å, c = 16.842 Å, α = 90.00°, β = 90.00° and γ = 90.00°. The asymmetric unit holds Hf at (0.000, 0.000, 0.086), Mg at (0.000, 0.500, 0.250) and W at (0.000, 0.000, 0.500).

The formation enthalpy at 0 K comes out at 0.580 eV per atom. For the density of states at the Fermi level, the calculation gives 5.5 states/eV/cell.

***

Here is YHfMg6 at its PBEsol-relaxed geometry from Alexandria via LeMat-Bulk. Energies are from meta-GGA SCAN.

It has space group Cmmm (No. 65), with a = 7.823 Å, b = 9.664 Å, c = 4.830 Å, α = 90.00°, β = 90.00° and γ = 90.00°. The asymmetric unit holds Y at (0.000, 0.000, 0.000), Hf at (0.000, 0.500, 0.000), Mg at (0.000, 0.256, 0.500), Mg at (0.241, 0.500, 0.500) and Mg at (0.250, 0.250, 0.000).

The formation enthalpy at 0 K comes out at 0.045 eV per atom. For the density of states at the Fermi level, the calculation gives 8.6 states/eV/cell.

***

Here is YHfMg3 at its PBEsol-relaxed geometry from Alexandria via LeMat-Bulk. Energies are from meta-GGA SCAN.

It has space group Pm-3m (No. 221), with a = 5.220 Å, b = 5.220 Å, c = 5.220 Å, α = 90.00°, β = 90.00° and γ = 90.00°. The asymmetric unit holds Y at (0.000, 0.000, 0.000), Hf at (0.500, 0.500, 0.500) and Mg at (0.000, 0.000, 0.500).

The formation enthalpy at 0 K comes out at 1.562 eV per atom. For the density of states at the Fermi level, the calculation gives 4.3 states/eV/cell.

***

Here is YHf3Mg at its PBEsol-relaxed geometry from Alexandria via LeMat-Bulk. Energies are from meta-GGA SCAN.

It has space group Pm-3m (No. 221), with a = 5.060 Å, b = 5.060 Å, c = 5.060 Å, α = 90.00°, β = 90.00° and γ = 90.00°. The asymmetric unit holds Y at (0.000, 0.000, 0.000), Hf at (0.000, 0.500, 0.500) and Mg at (0.500, 0.500, 0.500).

The formation enthalpy at 0 K comes out at 1.088 eV per atom. For the density of states at the Fermi level, the calculation gives 8.4 states/eV/cell.

***

Here is Hf2MgZn2 at its PBEsol-relaxed geometry from Alexandria via LeMat-Bulk. Energies are from meta-GGA SCAN.

It has space group P4/mbm (No. 127), with a = 7.261 Å, b = 7.261 Å, c = 3.446 Å, α = 90.00°, β = 90.00° and γ = 90.00°. The asymmetric unit holds Hf at (0.172, 0.328, 0.000), Mg at (0.000, 0.000, 0.500) and Zn at (0.125, 0.625, 0.500).

The formation enthalpy at 0 K comes out at -0.171 eV per atom. For the density of states at the Fermi level, the calculation gives 7.6 states/eV/cell.

***

Here is Hf2Mn at its PBEsol-relaxed geometry from Alexandria via LeMat-Bulk. Energies are from meta-GGA SCAN.

It has space group Fd-3m (No. 227, origin choice 2), with a = 11.832 Å, b = 11.832 Å, c = 11.832 Å, α = 90.00°, β = 90.00° and γ = 90.00°. The asymmetric unit holds Hf at (0.000, 0.000, 0.000), Hf at (0.064, 0.375, 0.875) and Mn at (0.040, 0.040, 0.210).

The formation enthalpy at 0 K comes out at -0.065 eV per atom. For the density of states at the Fermi level, the calculation gives 63.9 states/eV/cell.

***

Here is HfMnMo3 at its PBEsol-relaxed geometry from Alexandria via LeMat-Bulk. Energies are from meta-GGA SCAN.

It has space group Pm-3m (No. 221), with a = 4.433 Å, b = 4.433 Å, c = 4.433 Å, α = 90.00°, β = 90.00° and γ = 90.00°. The asymmetric unit holds Hf at (0.000, 0.000, 0.000), Mn at (0.500, 0.500, 0.500) and Mo at (0.000, 0.500, 0.500).

The formation enthalpy at 0 K comes out at 0.821 eV per atom. For the density of states at the Fermi level, the calculation gives 5.9 states/eV/cell.

***

Here is Hf2MnNb at its PBEsol-relaxed geometry from Alexandria via LeMat-Bulk. Energies are from meta-GGA SCAN.

It has space group Fm-3m (No. 225), with a = 6.502 Å, b = 6.502 Å, c = 6.502 Å, α = 90.00°, β = 90.00° and γ = 90.00°. The asymmetric unit holds Hf at (0.250, 0.250, 0.250), Mn at (0.000, 0.000, 0.000) and Nb at (0.000, 0.000, 0.500).

The formation enthalpy at 0 K comes out at 0.027 eV per atom. For the density of states at the Fermi level, the calculation gives 18.3 states/eV/cell.